(1)
SiPHRu (GGA-PBE, optimized geometry); calculated total energy = -23.89 eV/cell
1.0
-0.810 1.436 2.488
-3.875 -0.821 1.003
0.375 -3.015 3.653
Si P H Ru
1 1 1 1
Cartesian
-4.014 -0.034 2.213
-3.326 -1.824 3.471
-1.524 -1.328 1.979
-2.016 -1.219 5.337

(2)
SiPHRu (GGA-PBE, optimized geometry); calculated total energy = -48.70 eV/cell
1.0
-3.533 -2.955 2.163
-0.702 -1.065 -2.602
7.994 -2.456 -1.150
Si P H Ru
2 2 2 2
Cartesian
4.777 -3.770 0.256
0.430 -3.075 -0.470
6.968 -2.315 -0.931
2.620 -1.619 -1.657
-1.901 -2.267 1.441
1.745 -4.028 -0.435
1.164 -0.865 0.040
4.810 -2.626 -1.835

Values of V, in order: 12.67, 13.03, all in Å³ per atom.